Here is an optimized crystal structure of Ni3AgN from the Alexandria database. Energies are from GGA-PBE.

Cell: 6.188 3.760 5.454 Å, 90.00 116.16 90.00°
Atoms (fractional coordinates):
1 Ni 0.059 0.851 0.237
2 Ni 0.801 0.351 0.880
3 Ni 0.559 0.851 0.010
4 Ni 0.317 0.351 0.139
5 Ni 0.559 0.851 0.510
6 Ni 0.059 0.851 0.782
7 N 0.323 0.851 0.142
8 N 0.794 0.851 0.878
9 Ag 0.811 0.351 0.386
10 Ag 0.306 0.351 0.634

Output
VASP energy   -5.638 eV per atom
Uncorrected formation energy   0.067 eV/atom
Total magnetic moment   0.00 μB per atom
Relative energy among the computed polymorphs   0.0390 eV/atom